Entry 1:
A geometry-optimized Ta2Te4Br10O structure, computed with GGA-PBE.

Structure (POSCAR):
```
Ta2Te4Br10O
1.0
7.913 0.870 -0.647
-1.628 7.412 0.617
-1.121 -0.863 11.189
Br O Ta Te
10 1 2 4
Cartesian
4.352 1.219 6.393
0.688 1.350 6.648
4.018 2.883 2.816
4.475 6.069 4.510
0.811 6.200 4.765
2.719 1.514 9.599
2.444 5.905 1.560
4.664 4.250 8.057
0.499 3.169 3.101
1.145 4.536 8.342
2.582 3.709 5.579
2.573 4.627 3.908
2.590 2.792 7.250
6.730 2.330 -0.230
3.845 6.721 9.896
-1.567 5.089 11.388
1.318 0.698 1.262
```

Raw formation energy: -811 meV per atom

=====

Entry 2:
A geometry-optimized Mn2SiHRu structure, computed with GGA-PBE.

Structure (POSCAR):
```
Mn2SiHRu
1.0
3.690 0.000 0.000
0.000 3.690 0.000
0.000 0.000 3.858
Ru Mn Si H
1 2 1 1
Cartesian
0.000 0.000 1.929
1.845 0.000 0.000
0.000 1.845 0.000
1.845 1.845 1.929
0.000 0.000 0.000
```

D(E_F): 0.527 states/eV/atom

=====

| no. | total magnetization (μB per formula unit) | E_tot (eV/atom) |
| --- | --- | --- |
| 1 | 0.0 | -4.220 |
| 2 | 5.1 | -7.482 |